# 1
A plane-wave DFT calculation with PBE was carried out for ZnGa2Hg after structural relaxation.

The structure in POSCAR format:
```
ZnGa2Hg
1.0
-2.391 2.956 1.346
-2.191 -2.702 2.041
3.655 1.314 9.650
Ga Hg Zn
4 2 2
direct
0.875 0.862 0.750
0.138 0.625 0.250
0.612 0.125 0.250
0.375 0.388 0.750
0.000 0.000 0.000
0.750 0.250 0.500
0.250 0.750 0.500
0.500 0.500 0.000
```

Values from the calculation:
The calculation puts the energy above the most stable polymorph in this dataset at 0.0300 eV/atom. For the density of states at the Fermi level, the calculation gives 3.27 states/eV per cell. The calculation puts the formation enthalpy at 0 K at 0.099 eV per atom.


# 2
A plane-wave DFT calculation with PBE was carried out for CdGaS3 after structural relaxation.

The structure in POSCAR format:
```
CdGaS3
1.0
4.724 0.000 0.000
0.000 4.724 0.000
0.000 0.000 4.724
Ga S Cd
1 3 1
direct
0.000 0.000 0.000
0.000 0.500 0.000
0.000 0.000 0.500
0.500 0.000 0.000
0.500 0.500 0.500
```

Values from the calculation:
The calculation puts the energy above the most stable polymorph in this dataset at 0.5586 eV/atom. For the density of states at the Fermi level, the calculation gives 3.52 states/eV per cell. The value obtained for the raw formation energy is 217 meV/atom.


# 3
A plane-wave DFT calculation with PBE was carried out for TaMnAl2 after structural relaxation.

The structure in POSCAR format:
```
TaMnAl2
1.0
3.096 0.000 0.000
0.000 3.096 0.000
0.000 0.000 6.133
Mn Al Ta
1 2 1
direct
0.000 0.000 0.492
0.500 0.500 0.274
0.000 0.000 0.009
0.500 0.500 0.724
```

Values from the calculation:
The calculation puts the energy above the most stable polymorph in this dataset at 0.0000 eV/atom. For the density of states at the Fermi level, the calculation gives 2.38 states/eV per cell. The calculation puts the formation enthalpy at 0 K at -0.216 eV per atom.


# 4
A plane-wave DFT calculation with PBE was carried out for Mg2TaTe after structural relaxation.

The structure in POSCAR format:
```
Mg2TaTe
1.0
-2.404 -1.980 0.419
2.642 -1.689 -0.212
1.184 0.625 9.757
Ta Mg Te
1 2 1
direct
0.000 0.000 0.498
0.000 0.000 0.020
0.500 0.500 0.270
0.500 0.500 0.712
```

Values from the calculation:
For the density of states at the Fermi level, the calculation gives 2.35 states/eV per cell. The value obtained for the raw formation energy is 220 meV/atom.


# 5
A plane-wave DFT calculation with PBE was carried out for LiPa2Te4 after structural relaxation.

The structure in POSCAR format:
```
LiPa2Te4
1.0
4.218 0.000 0.000
0.000 7.319 -0.037
-2.109 -3.607 7.362
Li Te Pa
1 4 2
direct
0.000 0.000 0.000
0.880 0.210 0.760
0.381 0.715 0.761
0.120 0.790 0.240
0.619 0.285 0.239
0.252 0.251 0.504
0.748 0.749 0.496
```

Values from the calculation:
For the density of states at the Fermi level, the calculation gives 10.02 states/eV per cell. The value obtained for the raw formation energy is -833 meV/atom.


# 6
A plane-wave DFT calculation with PBE was carried out for Pm6Sn2Te3Pb after structural relaxation.

The structure in POSCAR format:
```
Pm6Sn2Te3Pb
1.0
-1.400 -0.760 4.215
0.963 -8.873 -1.281
9.469 3.217 1.316
Sn Pm Te Pb
2 6 3 1
direct
0.167 0.333 0.333
0.833 0.667 0.667
0.334 0.910 0.668
0.331 0.422 0.662
0.002 0.248 0.005
0.669 0.578 0.338
0.998 0.752 0.995
0.666 0.090 0.332
0.500 0.500 0.000
0.166 0.833 0.333
0.834 0.167 0.667
0.500 0.000 0.000
```

Values from the calculation:
For the density of states at the Fermi level, the calculation gives 3.22 states/eV per cell. The value obtained for the raw formation energy is -1083 meV/atom.


# 7
A plane-wave DFT calculation with PBE was carried out for YZnB after structural relaxation.

The structure in POSCAR format:
```
YZnB
1.0
-0.559 2.997 1.427
-1.913 1.260 -3.397
-4.791 -4.453 3.512
Y B Zn
2 2 2
direct
0.452 0.771 0.751
0.747 0.567 0.341
0.320 0.140 0.489
0.878 0.198 0.604
0.048 0.368 0.944
0.151 0.970 0.149
```

Values from the calculation:
The calculation puts the energy above the most stable polymorph in this dataset at 0.0000 eV/atom. For the density of states at the Fermi level, the calculation gives 3.53 states/eV per cell. The calculation puts the formation enthalpy at 0 K at -0.373 eV per atom.


# 8
A plane-wave DFT calculation with PBE was carried out for AlVC after structural relaxation.

The structure in POSCAR format:
```
AlVC
1.0
-1.329 -2.273 1.950
1.327 -3.854 -3.589
3.614 -0.503 1.876
C V Al
2 2 2
direct
0.000 0.392 0.001
0.500 0.608 0.501
0.000 0.389 0.501
0.500 0.611 0.001
0.000 0.030 0.000
0.500 0.970 0.500
```

Values from the calculation:
The calculation puts the energy above the most stable polymorph in this dataset at 0.0000 eV/atom. For the density of states at the Fermi level, the calculation gives 2.32 states/eV per cell. The calculation puts the formation enthalpy at 0 K at -0.147 eV per atom.


# 9
A plane-wave DFT calculation with PBE was carried out for NaCrSn2Rh after structural relaxation.

The structure in POSCAR format:
```
NaCrSn2Rh
1.0
5.170 0.000 0.000
0.000 4.646 0.000
0.000 0.000 5.170
Na Sn Cr Rh
1 2 1 1
direct
0.000 0.000 0.000
0.500 0.000 0.000
0.000 0.000 0.500
0.500 0.500 0.500
0.000 0.500 0.000
```

Values from the calculation:
For the density of states at the Fermi level, the calculation gives 4.12 states/eV per cell. The calculation puts the formation enthalpy at 0 K at 1.224 eV per atom.


# 10
A plane-wave DFT calculation with PBE was carried out for Co3Br5 after structural relaxation.

The structure in POSCAR format:
```
Co3Br5
1.0
3.972 -6.348 0.000
3.972 6.348 0.000
0.000 0.000 3.539
Co Br
3 5
direct
0.341 0.659 0.500
0.500 0.500 0.000
0.659 0.341 0.500
0.000 0.500 0.000
0.698 0.698 0.500
0.302 0.302 0.500
0.000 0.000 0.000
0.500 0.000 0.000
```

Values from the calculation:
For the density of states at the Fermi level, the calculation gives 9.56 states/eV per cell. The value obtained for the raw formation energy is 259 meV/atom.


# 11
A plane-wave DFT calculation with PBE was carried out for SrTm2Th after structural relaxation.

The structure in POSCAR format:
```
SrTm2Th
1.0
-2.834 2.073 0.776
-2.098 -0.801 2.808
5.586 7.527 8.623
Tm Sr Th
2 1 1
direct
0.906 0.906 0.282
0.094 0.094 0.718
0.000 0.000 0.000
0.500 0.500 0.500
```

Values from the calculation:
The calculation puts the energy above the most stable polymorph in this dataset at 0.1133 eV/atom. For the density of states at the Fermi level, the calculation gives 4.31 states/eV per cell. The calculation puts the formation enthalpy at 0 K at 0.214 eV per atom.


# 12
A plane-wave DFT calculation with PBE was carried out for MgBIN2 after structural relaxation.

The structure in POSCAR format:
```
MgBIN2
1.0
4.160 0.000 0.000
0.000 4.160 0.000
0.000 0.000 6.245
I N B Mg
1 2 1 1
direct
0.000 0.000 0.500
0.000 0.500 0.000
0.500 0.000 0.000
0.500 0.500 0.500
0.000 0.000 0.000
```

Values from the calculation:
The calculation puts the energy above the most stable polymorph in this dataset at 0.5722 eV/atom. For the density of states at the Fermi level, the calculation gives 1.43 states/eV per cell. The value obtained for the raw formation energy is 1927 meV/atom.